Computed, not measured: Ba4Mg2Pt after structural relaxation at the PBE-GGA level of DFT.

Results
ΔH_f (0 K)	-0.168	eV/atom

Cell: 10.206 10.206 10.206 Å, 145.10 145.10 50.18°
Fractional coordinates of all 7 atoms:
Ba 0.000 0.500 0.500
Ba 0.174 0.174 0.000
Ba 0.500 0.000 0.500
Ba 0.826 0.826 0.000
Mg 0.377 0.377 0.000
Mg 0.623 0.623 0.000
Pt 0.000 0.000 0.000

=====

Computed, not measured: ZnBi2WC after structural relaxation at the PBE-GGA level of DFT.

Results
ΔH_f (0 K)	1.008	eV/atom

Cell: 5.520 5.520 3.990 Å, 90.00 90.00 90.00°
Fractional coordinates of all 5 atoms:
Zn 0.000 0.000 0.000
Bi 0.000 0.500 0.500
Bi 0.500 0.000 0.500
W 0.500 0.500 0.500
C 0.500 0.500 0.000

=====

Computed, not measured: EuPaNi4 after structural relaxation at the PBE-GGA level of DFT.

Results
ΔH_f (0 K)	-0.256	eV/atom

Cell: 5.075 5.075 5.075 Å, 60.00 60.00 60.00°
Fractional coordinates of all 6 atoms:
Eu 0.000 0.000 0.000
Pa 0.750 0.750 0.750
Ni 0.376 0.376 0.376
Ni 0.376 0.376 0.872
Ni 0.376 0.872 0.376
Ni 0.872 0.376 0.376

=====

Computed, not measured: HfTlSnHg2 after structural relaxation at the PBE-GGA level of DFT.

Results
ΔH_f (0 K)	0.895	eV/atom

Cell: 5.346 5.346 5.689 Å, 90.00 90.00 90.00°
Fractional coordinates of all 5 atoms:
Hf 0.000 0.000 0.000
Tl 0.000 0.000 0.500
Sn 0.500 0.500 0.000
Hg 0.000 0.500 0.500
Hg 0.500 0.000 0.500

=====

Computed, not measured: RbPtNO2 after structural relaxation at the PBE-GGA level of DFT.

Results
E_form (uncorrected)	2280	meV/atom

Cell: 4.868 4.868 5.139 Å, 90.00 90.00 90.00°
Fractional coordinates of all 5 atoms:
Rb 0.000 0.000 0.000
Pt 0.500 0.500 0.500
N 0.000 0.000 0.500
O 0.000 0.500 0.000
O 0.500 0.000 0.000

=====

Computed, not measured: Rb2CuAuO after structural relaxation at the PBE-GGA level of DFT.

Results
E_form (uncorrected)	-606	meV/atom

Cell: 6.052 6.052 3.657 Å, 90.00 90.00 90.00°
Fractional coordinates of all 5 atoms:
Rb 0.000 0.500 0.000
Rb 0.500 0.000 0.000
Cu 0.000 0.000 0.500
Au 0.500 0.500 0.500
O 0.000 0.000 0.000

=====

Computed, not measured: Ac2DyPO8 after structural relaxation at the PBE-GGA level of DFT.

Results
E_form (uncorrected)	-2393	meV/atom

Cell: 5.541 5.541 6.139 Å, 90.00 90.00 120.00°
Fractional coordinates of all 12 atoms:
Ac 0.333 0.667 0.358
Ac 0.667 0.333 0.642
Dy 0.000 0.000 0.000
P 0.000 0.000 0.500
O 0.145 0.289 0.669
O 0.145 0.855 0.669
O 0.289 0.145 0.331
O 0.333 0.667 0.005
O 0.667 0.333 0.995
O 0.711 0.855 0.669
O 0.855 0.145 0.331
O 0.855 0.711 0.331

=====

Computed, not measured: YTh2Pd5 after structural relaxation at the PBE-GGA level of DFT.

Results
ΔH_f (0 K)	-0.815	eV/atom

Cell: 6.048 11.479 4.887 Å, 90.00 90.00 90.00°
Fractional coordinates of all 16 atoms:
Y 0.000 0.000 0.000
Y 0.500 0.500 0.000
Th 0.146 0.348 0.500
Th 0.354 0.848 0.500
Th 0.646 0.152 0.500
Th 0.854 0.652 0.500
Pd 0.000 0.500 0.000
Pd 0.175 0.092 0.500
Pd 0.175 0.729 0.000
Pd 0.325 0.229 0.000
Pd 0.325 0.592 0.500
Pd 0.500 0.000 0.000
Pd 0.675 0.408 0.500
Pd 0.675 0.771 0.000
Pd 0.825 0.271 0.000
Pd 0.825 0.908 0.500

=====

Computed, not measured: LaPuNp2As4 after structural relaxation at the PBE-GGA level of DFT.

Results
ΔH_f (0 K)	-0.937	eV/atom

Cell: 7.237 4.157 7.264 Å, 90.00 109.20 90.00°
Fractional coordinates of all 8 atoms:
La 0.000 0.000 0.000
Pu 0.500 0.500 0.000
Np 0.000 0.500 0.500
Np 0.500 0.000 0.500
As 0.254 0.000 0.742
As 0.260 0.500 0.264
As 0.740 0.500 0.736
As 0.746 0.000 0.258

=====

Computed, not measured: TbWC2 after structural relaxation at the PBE-GGA level of DFT.

Results
ΔH_f (0 K)	0.029	eV/atom
distance to the lowest polymorph of the same formula	300	meV per atom

Cell: 6.122 6.122 6.122 Å, 30.22 30.22 30.22°
Fractional coordinates of all 4 atoms:
Tb 0.000 0.000 0.000
W 0.175 0.175 0.175
C 0.575 0.575 0.575
C 0.770 0.770 0.770

=====

Computed, not measured: Cs6CdAuO after structural relaxation at the PBE-GGA level of DFT.

Results
E_form (uncorrected)	-382	meV/atom

Cell: 8.784 8.784 16.841 Å, 90.00 90.00 120.00°
Fractional coordinates of all 18 atoms:
Cs 0.053 0.399 0.147
Cs 0.053 0.654 0.353
Cs 0.346 0.399 0.353
Cs 0.346 0.947 0.147
Cs 0.399 0.053 0.647
Cs 0.399 0.346 0.853
Cs 0.601 0.654 0.147
Cs 0.601 0.947 0.353
Cs 0.654 0.053 0.853
Cs 0.654 0.601 0.647
Cs 0.947 0.346 0.647
Cs 0.947 0.601 0.853
Cd 0.000 0.000 0.000
Cd 0.000 0.000 0.500
Au 0.333 0.667 0.750
Au 0.667 0.333 0.250
O 0.333 0.667 0.250
O 0.667 0.333 0.750

=====

Computed, not measured: AcCeEuLu after structural relaxation at the PBE-GGA level of DFT.

Results
ΔH_f (0 K)	0.273	eV/atom

Cell: 5.937 5.937 5.937 Å, 60.00 60.00 60.00°
Fractional coordinates of all 4 atoms:
Ac 0.000 0.000 0.000
Ce 0.750 0.750 0.750
Eu 0.250 0.250 0.250
Lu 0.500 0.500 0.500

=====

Computed, not measured: Sm3In5F12 after structural relaxation at the PBE-GGA level of DFT.

Results
E_form (uncorrected)	-2540	meV/atom

Cell: 12.851 12.851 12.851 Å, 109.47 109.47 109.47°
Fractional coordinates of all 80 atoms:
Sm 0.125 0.250 0.375
Sm 0.125 0.375 0.750
Sm 0.250 0.375 0.125
Sm 0.250 0.875 0.625
Sm 0.375 0.125 0.250
Sm 0.375 0.750 0.125
Sm 0.625 0.250 0.875
Sm 0.625 0.875 0.750
Sm 0.750 0.125 0.375
Sm 0.750 0.625 0.875
Sm 0.875 0.625 0.250
Sm 0.875 0.750 0.625
In 0.000 0.000 0.000
In 0.000 0.000 0.500
In 0.000 0.500 0.000
In 0.000 0.500 0.500
In 0.125 0.750 0.875
In 0.125 0.875 0.250
In 0.250 0.125 0.875
In 0.250 0.625 0.375
In 0.375 0.250 0.625
In 0.375 0.625 0.750
In 0.500 0.000 0.000
In 0.500 0.000 0.500
In 0.500 0.500 0.000
In 0.500 0.500 0.500
In 0.625 0.375 0.250
In 0.625 0.750 0.375
In 0.750 0.375 0.625
In 0.750 0.875 0.125
In 0.875 0.125 0.750
In 0.875 0.250 0.125
F 0.047 0.631 0.384
F 0.047 0.916 0.664
F 0.084 0.248 0.131
F 0.084 0.336 0.953
F 0.116 0.748 0.664
F 0.116 0.869 0.453
F 0.131 0.084 0.248
F 0.131 0.547 0.884
F 0.164 0.248 0.616
F 0.164 0.416 0.547
F 0.248 0.131 0.084
F 0.248 0.616 0.164
F 0.252 0.336 0.884
F 0.252 0.416 0.369
F 0.336 0.884 0.252
F 0.336 0.953 0.084
F 0.369 0.252 0.416
F 0.369 0.616 0.953
F 0.384 0.047 0.631
F 0.384 0.836 0.752
F 0.416 0.369 0.252
F 0.416 0.547 0.164
F 0.453 0.116 0.869
F 0.453 0.836 0.584
F 0.547 0.164 0.416
F 0.547 0.884 0.131
F 0.584 0.453 0.836
F 0.584 0.631 0.748
F 0.616 0.164 0.248
F 0.616 0.953 0.369
F 0.631 0.384 0.047
F 0.631 0.748 0.584
F 0.664 0.047 0.916
F 0.664 0.116 0.748
F 0.748 0.584 0.631
F 0.748 0.664 0.116
F 0.752 0.384 0.836
F 0.752 0.869 0.916
F 0.836 0.584 0.453
F 0.836 0.752 0.384
F 0.869 0.453 0.116
F 0.869 0.916 0.752
F 0.884 0.131 0.547
F 0.884 0.252 0.336
F 0.916 0.664 0.047
F 0.916 0.752 0.869
F 0.953 0.084 0.336
F 0.953 0.369 0.616

=====

Computed, not measured: SrAl3ZnAg after structural relaxation at the PBE-GGA level of DFT.

Results
ΔH_f (0 K)	-0.040	eV/atom

Cell: 7.303 7.303 6.393 Å, 90.00 90.00 130.21°
Fractional coordinates of all 12 atoms:
Sr 0.206 0.794 0.750
Sr 0.794 0.206 0.250
Al 0.215 0.215 0.000
Al 0.215 0.215 0.500
Al 0.374 0.626 0.250
Al 0.626 0.374 0.750
Al 0.785 0.785 0.000
Al 0.785 0.785 0.500
Zn 0.424 0.576 0.750
Zn 0.576 0.424 0.250
Ag 0.153 0.847 0.250
Ag 0.847 0.153 0.750

=====

Computed, not measured: Y6NiRu after structural relaxation at the PBE-GGA level of DFT.

Results
ΔH_f (0 K)	-0.165	eV/atom

Cell: 7.437 7.437 7.437 Å, 52.02 52.02 52.02°
Fractional coordinates of all 8 atoms:
Y 0.080 0.422 0.748
Y 0.252 0.920 0.578
Y 0.422 0.748 0.080
Y 0.578 0.252 0.920
Y 0.748 0.080 0.422
Y 0.920 0.578 0.252
Ni 0.500 0.500 0.500
Ru 0.000 0.000 0.000

=====

Computed, not measured: Tl2CdNiSn after structural relaxation at the PBE-GGA level of DFT.

Results
ΔH_f (0 K)	0.211	eV/atom
distance to the lowest polymorph of the same formula	92	meV per atom

Cell: 5.062 5.062 5.110 Å, 90.00 90.00 90.00°
Fractional coordinates of all 5 atoms:
Tl 0.000 0.500 0.000
Tl 0.500 0.000 0.000
Cd 0.000 0.000 0.500
Ni 0.000 0.000 0.000
Sn 0.500 0.500 0.500

=====

Computed, not measured: Sc2SbPb2 after structural relaxation at the PBE-GGA level of DFT.

Results
distance to the lowest polymorph of the same formula	0	meV per atom
E_form (uncorrected)	-415	meV/atom

Cell: 7.562 7.562 4.596 Å, 90.00 90.00 90.00°
Fractional coordinates of all 10 atoms:
Sc 0.160 0.340 0.000
Sc 0.340 0.840 0.000
Sc 0.660 0.160 0.000
Sc 0.840 0.660 0.000
Sb 0.000 0.000 0.000
Sb 0.500 0.500 0.000
Pb 0.151 0.651 0.500
Pb 0.349 0.151 0.500
Pb 0.651 0.849 0.500
Pb 0.849 0.349 0.500

=====

Computed, not measured: Cs6Rb8Pd after structural relaxation at the PBE-GGA level of DFT.

Results
ΔH_f (0 K)	0.029	eV/atom

Cell: 11.591 11.591 11.591 Å, 72.67 72.67 72.67°
Fractional coordinates of all 15 atoms:
Cs 0.172 0.457 0.616
Cs 0.384 0.828 0.543
Cs 0.457 0.616 0.172
Cs 0.543 0.384 0.828
Cs 0.616 0.172 0.457
Cs 0.828 0.543 0.384
Rb 0.028 0.908 0.299
Rb 0.092 0.701 0.972
Rb 0.245 0.245 0.245
Rb 0.299 0.028 0.908
Rb 0.701 0.972 0.092
Rb 0.755 0.755 0.755
Rb 0.908 0.299 0.028
Rb 0.972 0.092 0.701
Pd 0.000 0.000 0.000

=====

Computed, not measured: Tb6Dy3Y2Tm after structural relaxation at the PBE-GGA level of DFT.

Results
ΔH_f (0 K)	0.017	eV/atom

Cell: 6.151 6.151 11.763 Å, 94.98 94.98 119.96°
Fractional coordinates of all 12 atoms:
Tb 0.084 0.416 0.750
Tb 0.249 0.249 0.250
Tb 0.416 0.084 0.750
Tb 0.584 0.916 0.250
Tb 0.751 0.751 0.750
Tb 0.916 0.584 0.250
Dy 0.167 0.833 0.000
Dy 0.500 0.500 0.000
Dy 0.833 0.167 0.000
Y 0.333 0.667 0.500
Y 0.667 0.333 0.500
Tm 0.000 0.000 0.500

=====

Computed, not measured: Pm9SmIn2 after structural relaxation at the PBE-GGA level of DFT.

Results
ΔH_f (0 K)	-0.171	eV/atom

Cell: 4.983 4.983 15.313 Å, 90.00 90.00 90.00°
Fractional coordinates of all 12 atoms:
Pm 0.000 0.000 0.000
Pm 0.000 0.000 0.339
Pm 0.000 0.000 0.661
Pm 0.000 0.500 0.174
Pm 0.000 0.500 0.500
Pm 0.000 0.500 0.826
Pm 0.500 0.000 0.174
Pm 0.500 0.000 0.500
Pm 0.500 0.000 0.826
Sm 0.500 0.500 0.000
In 0.500 0.500 0.339
In 0.500 0.500 0.661